Record 1
Density functional theory data (meta-GGA SCAN) for a crystal of Zn3Ag relaxed with PBEsol.

The final energy is -17.985 eV/atom. Its formation energy is -0.007 eV per atom. The calculation puts the volume at 14.6 Å³ per atom.

The structure belongs to space group Pnma (No. 62); the cell edges are 4.735, 8.747 and 5.623 Å and the angles 90.00°, 90.00° and 90.00°. Symmetry generates all atoms from Zn at (0.091, 0.250, 0.126), Zn at (0.239, 0.000, 0.872) and Ag at (0.090, 0.250, 0.614).

Record 2
Density functional theory data (meta-GGA SCAN) for a crystal of YScIn2Hg relaxed with PBEsol.

The final energy is -34.834 eV/atom. Its formation energy is 0.570 eV per atom. The calculation puts the volume at 33.0 Å³ per atom.

The structure belongs to space group P4/mmm (No. 123); the cell edges are 5.531, 5.531 and 5.386 Å and the angles 90.00°, 90.00° and 90.00°. Symmetry generates all atoms from Y at (0.000, 0.000, 0.000), Sc at (0.500, 0.500, 0.500), In at (0.000, 0.500, 0.000) and Hg at (0.000, 0.000, 0.500).

Record 3
Density functional theory data (meta-GGA SCAN) for a crystal of Hf2ZnPbC relaxed with PBEsol.

The final energy is -44.726 eV/atom. Its formation energy is 0.223 eV per atom. The calculation puts the volume at 18.9 Å³ per atom.

The structure belongs to space group P4/mmm (No. 123); the cell edges are 4.389, 4.389 and 4.901 Å and the angles 90.00°, 90.00° and 90.00°. Symmetry generates all atoms from Hf at (0.000, 0.500, 0.000), Zn at (0.000, 0.000, 0.500), Pb at (0.500, 0.500, 0.500) and C at (0.500, 0.500, 0.000).

Which of these has the highest final energy? Zn3Ag